[1]
Below is a relaxed structure of KLi2Pb2, with properties calculated at the PBE level.

abc: 4.817 7.919 8.218
angles: 90.00 90.00 90.00
Space group Cmmm (No. 65)
Inequivalent atoms, fractional coordinates:
K  0.000  0.000  0.000
Li  0.000  0.167  0.500
Pb  0.000  0.500  0.319

## Properties
- D(E_F) (states/eV/atom) = 0.37
- energy above the lowest structure with this stoichiometry (meV per atom) = 17
- calculated formation energy (eV per atom) = -0.178

=====

[2]
Below is a relaxed structure of FeRhS2, with properties calculated at the PBE level.

abc: 5.145 5.145 10.038
angles: 90.00 90.00 90.00
Space group I-42d (No. 122)
Inequivalent atoms, fractional coordinates:
Fe  0.000  0.000  0.000
Rh  0.000  0.000  0.500
S  0.222  0.250  0.125

## Properties
- D(E_F) (states/eV/atom) = 0.92
- formation energy (no corrections) (kJ/mol of atoms) = -26.7

=====

[3]
Below is a relaxed structure of LiNi2As, with properties calculated at the PBE level.

abc: 2.8362 2.8362 23.3070
angles: 90.00 90.00 120.00
Space group R-3m (No. 166, hexagonal axes)
Inequivalent atoms, fractional coordinates:
Li  0.0000  0.0000  0.0000
Ni  0.0000  0.0000  0.2430
As  0.0000  0.0000  0.5000

## Properties
- D(E_F) (states/eV/atom) = 0.78
- calculated formation energy (eV per atom) = 0.060

=====

[4]
Below is a relaxed structure of BaZn2Re, with properties calculated at the PBE level.

abc: 9.046 2.989 6.778
angles: 90.00 97.53 90.00
Space group Cm (No. 8)
Inequivalent atoms, fractional coordinates:
Ba  0.000  0.000  0.000
Zn  0.256  0.500  0.350
Zn  0.489  0.000  0.550
Re  0.226  0.000  0.659

## Properties
- D(E_F) (states/eV/atom) = 0.82
- energy above the lowest structure with this stoichiometry (meV per atom) = 133
- calculated formation energy (eV per atom) = 0.595

=====

[5]
Below is a relaxed structure of MgNpIrPd, with properties calculated at the PBE level.

abc: 6.670 6.670 6.670
angles: 90.00 90.00 90.00
Space group F-43m (No. 216)
Inequivalent atoms, fractional coordinates:
Mg  0.000  0.000  0.000
Np  0.000  0.000  0.500
Ir  0.250  0.250  0.250
Pd  0.250  0.250  0.750

## Properties
- D(E_F) (states/eV/atom) = 1.86
- calculated formation energy (eV per atom) = -0.341

=====

[6]
Below is a relaxed structure of Y2TcAu, with properties calculated at the PBE level.

abc: 3.900 3.900 6.072
angles: 90.00 90.00 90.00
Space group P4mm (No. 99)
Inequivalent atoms, fractional coordinates:
Y  0.000  0.000  0.000
Y  0.500  0.500  0.361
Tc  0.500  0.500  0.848
Au  0.000  0.000  0.528

## Properties
- D(E_F) (states/eV/atom) = 1.09
- calculated formation energy (eV per atom) = -0.072

=====

[7]
Below is a relaxed structure of SbTe2NO, with properties calculated at the PBE level.

abc: 4.571 4.571 4.893
angles: 90.00 90.00 90.00
Space group P4/mmm (No. 123)
Inequivalent atoms, fractional coordinates:
Sb  0.000  0.000  0.000
Te  0.000  0.500  0.500
N  0.000  0.000  0.500
O  0.500  0.500  0.000

## Properties
- D(E_F) (states/eV/atom) = 0.97
- formation energy (no corrections) (kJ/mol of atoms) = 97.3
- energy above the lowest structure with this stoichiometry (meV per atom) = 0

=====

[8]
Below is a relaxed structure of PmYPuCd, with properties calculated at the PBE level.

abc: 7.724 7.724 7.724
angles: 90.00 90.00 90.00
Space group F-43m (No. 216)
Inequivalent atoms, fractional coordinates:
Pm  0.000  0.000  0.000
Y  0.000  0.000  0.500
Pu  0.250  0.250  0.750
Cd  0.250  0.250  0.250

## Properties
- D(E_F) (states/eV/atom) = 3.73
- calculated formation energy (eV per atom) = 0.068

=====

[9]
Below is a relaxed structure of TbCdNi, with properties calculated at the PBE level.

abc: 12.559 3.964 5.161
angles: 90.00 101.41 90.00
Space group C2/m (No. 12)
Inequivalent atoms, fractional coordinates:
Tb  0.137  0.000  0.312
Cd  0.078  0.500  0.778
Ni  0.231  0.000  0.858

## Properties
- D(E_F) (states/eV/atom) = 0.74
- calculated formation energy (eV per atom) = -0.355

=====

[10]
Below is a relaxed structure of Ta2CuSb, with properties calculated at the PBE level.

abc: 5.801 7.632 3.189
angles: 90.00 90.00 90.00
Space group Cmmm (No. 65)
Inequivalent atoms, fractional coordinates:
Ta  0.250  0.250  0.000
Cu  0.000  0.000  0.500
Sb  0.000  0.500  0.500

## Properties
- D(E_F) (states/eV/atom) = 0.68
- formation energy (no corrections) (kJ/mol of atoms) = 23.8

=====

[11]
Below is a relaxed structure of Tl2RuCl5O, with properties calculated at the PBE level.

abc: 7.198 7.198 9.327
angles: 90.00 90.00 90.00
Space group I4mm (No. 107)
Inequivalent atoms, fractional coordinates:
Tl  0.000  0.500  0.000
Ru  0.000  0.000  0.262
Cl  0.000  0.000  0.005
Cl  0.234  0.234  0.249
O  0.000  0.000  0.448

## Properties
- D(E_F) (states/eV/atom) = 0.85
- formation energy (no corrections) (kJ/mol of atoms) = -72.1

=====

[12]
Below is a relaxed structure of K2Ca3Cl8, with properties calculated at the PBE level.

abc: 15.245 8.328 7.097
angles: 90.00 109.30 90.00
Space group C2/m (No. 12)
Inequivalent atoms, fractional coordinates:
K  0.228  0.000  0.159
Ca  0.000  0.241  0.500
Ca  0.000  0.500  0.000
Cl  0.101  0.500  0.407
Cl  0.107  0.276  0.894
Cl  0.110  0.000  0.446

## Properties
- D(E_F) (states/eV/atom) = 0.00
- formation energy (no corrections) (kJ/mol of atoms) = -220.4

=====

[13]
Below is a relaxed structure of CdInW2, with properties calculated at the PBE level.

abc: 9.782 2.815 5.340
angles: 90.00 95.57 90.00
Space group Cm (No. 8)
Inequivalent atoms, fractional coordinates:
Cd  0.000  0.000  0.000
In  0.246  0.000  0.768
W  0.002  0.500  0.485
W  0.247  0.500  0.280

## Properties
- D(E_F) (states/eV/atom) = 0.58
- energy above the lowest structure with this stoichiometry (meV per atom) = 228
- calculated formation energy (eV per atom) = 0.652

=====

[14]
Below is a relaxed structure of TeCI2, with properties calculated at the PBE level.

abc: 7.527 7.527 7.527
angles: 90.00 90.00 90.00
Space group Fm-3m (No. 225)
Inequivalent atoms, fractional coordinates:
Te  0.000  0.000  0.000
C  0.000  0.000  0.500
I  0.250  0.250  0.250

## Properties
- D(E_F) (states/eV/atom) = 1.22
- formation energy (no corrections) (kJ/mol of atoms) = 188.0
- energy above the lowest structure with this stoichiometry (meV per atom) = 514

=====

[15]
Below is a relaxed structure of MgSnBr2, with properties calculated at the PBE level.

abc: 3.6425 3.6425 38.3190
angles: 90.00 90.00 120.00
Space group R-3m (No. 166, hexagonal axes)
Inequivalent atoms, fractional coordinates:
Mg  0.0000  0.0000  0.0000
Sn  0.0000  0.0000  0.5000
Br  0.0000  0.0000  0.3749

## Properties
- D(E_F) (states/eV/atom) = 0.22
- formation energy (no corrections) (kJ/mol of atoms) = -80.9
- energy above the lowest structure with this stoichiometry (meV per atom) = 0

=====

[16]
Below is a relaxed structure of PrDyHoZr, with properties calculated at the PBE level.

abc: 7.826 7.826 7.826
angles: 90.00 90.00 90.00
Space group F-43m (No. 216)
Inequivalent atoms, fractional coordinates:
Pr  0.000  0.000  0.000
Dy  0.250  0.250  0.250
Ho  0.250  0.250  0.750
Zr  0.000  0.000  0.500

## Properties
- D(E_F) (states/eV/atom) = 1.90
- calculated formation energy (eV per atom) = 0.229

=====

[17]
Below is a relaxed structure of ErAgGe, with properties calculated at the PBE level.

abc: 7.1194 7.1194 4.1983
angles: 90.00 90.00 120.00
Space group P-62m (No. 189)
Inequivalent atoms, fractional coordinates:
Er  0.0000  0.5830  0.0000
Ag  0.0000  0.2513  0.5000
Ge  0.0000  0.0000  0.0000
Ge  0.3333  0.6667  0.5000

## Properties
- D(E_F) (states/eV/atom) = 0.12
- calculated formation energy (eV per atom) = -0.640

=====

[18]
Below is a relaxed structure of TbHo2Cd8, with properties calculated at the PBE level.

abc: 8.108 15.835 5.334
angles: 90.00 128.93 90.00
Space group C2/m (No. 12)
Inequivalent atoms, fractional coordinates:
Tb  0.000  0.000  0.000
Ho  0.000  0.312  0.500
Cd  0.000  0.201  0.000
Cd  0.019  0.500  0.270
Cd  0.232  0.130  0.747

## Properties
- D(E_F) (states/eV/atom) = 0.50
- calculated formation energy (eV per atom) = -0.232

=====

[19]
Below is a relaxed structure of ZrTa2Ru, with properties calculated at the PBE level.

abc: 3.0884 3.0884 26.9123
angles: 90.00 90.00 120.00
Space group R3m (No. 160, hexagonal axes)
Inequivalent atoms, fractional coordinates:
Zr  0.0000  0.0000  0.0000
Ta  0.0000  0.0000  0.2411
Ta  0.0000  0.0000  0.4881
Ru  0.0000  0.0000  0.7493

## Properties
- D(E_F) (states/eV/atom) = 1.02
- calculated formation energy (eV per atom) = 0.028

=====

[20]
Below is a relaxed structure of MgFeW2S, with properties calculated at the PBE level.

abc: 4.409 4.409 4.552
angles: 90.00 90.00 90.00
Space group P4/mmm (No. 123)
Inequivalent atoms, fractional coordinates:
Mg  0.000  0.000  0.000
Fe  0.500  0.500  0.000
W  0.000  0.500  0.500
S  0.000  0.000  0.500

## Properties
- D(E_F) (states/eV/atom) = 1.12
- formation energy (no corrections) (kJ/mol of atoms) = 93.0

=====

[21]
Below is a relaxed structure of VSiCl2, with properties calculated at the PBE level.

abc: 3.1095 3.1095 27.4256
angles: 90.00 90.00 120.00
Space group R-3m (No. 166, hexagonal axes)
Inequivalent atoms, fractional coordinates:
V  0.0000  0.0000  0.0000
Si  0.0000  0.0000  0.5000
Cl  0.0000  0.0000  0.0812

## Properties
- D(E_F) (states/eV/atom) = 0.84
- formation energy (no corrections) (kJ/mol of atoms) = 16.4
- energy above the lowest structure with this stoichiometry (meV per atom) = 400

=====

[22]
Below is a relaxed structure of Tb2PrAu2, with properties calculated at the PBE level.

abc: 8.325 8.325 3.818
angles: 90.00 90.00 90.00
Space group P4/mbm (No. 127)
Inequivalent atoms, fractional coordinates:
Tb  0.162  0.338  0.000
Pr  0.000  0.000  0.500
Au  0.129  0.629  0.500

## Properties
- D(E_F) (states/eV/atom) = 1.05
- energy above the lowest structure with this stoichiometry (meV per atom) = 0
- calculated formation energy (eV per atom) = -0.670

=====

[23]
Below is a relaxed structure of Al3Cr, with properties calculated at the PBE level.

abc: 5.555 8.567 5.210
angles: 90.00 90.00 90.00
Space group Pnma (No. 62)
Inequivalent atoms, fractional coordinates:
Al  0.050  0.250  0.107
Al  0.185  0.519  0.349
Cr  0.128  0.250  0.614

## Properties
- D(E_F) (states/eV/atom) = 0.38
- calculated formation energy (eV per atom) = -0.029

=====

[24]
Below is a relaxed structure of PmNd2Rh2, with properties calculated at the PBE level.

abc: 4.005 17.588 7.538
angles: 90.00 90.00 90.00
Space group Cmc2_1 (No. 36)
Inequivalent atoms, fractional coordinates:
Pm  0.000  0.121  0.000
Nd  0.000  0.310  0.112
Nd  0.000  0.468  0.837
Rh  0.000  0.052  0.639
Rh  0.000  0.308  0.709

## Properties
- D(E_F) (states/eV/atom) = 0.77
- energy above the lowest structure with this stoichiometry (meV per atom) = 22
- calculated formation energy (eV per atom) = -0.486

=====

[25]
Below is a relaxed structure of HoTm2Cu4, with properties calculated at the PBE level.

abc: 5.040 5.040 11.399
angles: 90.00 90.00 90.00
Space group I4/mmm (No. 139)
Inequivalent atoms, fractional coordinates:
Ho  0.000  0.000  0.000
Tm  0.000  0.000  0.285
Cu  0.000  0.500  0.121

## Properties
- D(E_F) (states/eV/atom) = 0.82
- calculated formation energy (eV per atom) = -0.026

=====

[26]
Below is a relaxed structure of CaSmLuTl, with properties calculated at the PBE level.

abc: 7.865 7.865 7.865
angles: 90.00 90.00 90.00
Space group F-43m (No. 216)
Inequivalent atoms, fractional coordinates:
Ca  0.000  0.000  0.000
Sm  0.000  0.000  0.500
Lu  0.250  0.250  0.750
Tl  0.250  0.250  0.250

## Properties
- D(E_F) (states/eV/atom) = 1.28
- calculated formation energy (eV per atom) = -0.019

=====

[27]
Below is a relaxed structure of HPtS, with properties calculated at the PBE level.

abc: 6.945 3.908 4.343
angles: 90.00 121.68 90.00
Space group Cm (No. 8)
Inequivalent atoms, fractional coordinates:
H  0.000  0.000  0.000
Pt  0.161  0.000  0.489
S  0.361  0.500  0.580

## Properties
- D(E_F) (states/eV/atom) = 0.39
- energy above the lowest structure with this stoichiometry (meV per atom) = 0